DFT (PBE) results for a relaxed structure of ZnBiF5.

Output
uncorrected energy	-4.387	eV per atom
energy relative to the lowest polymorph listed for this composition	63	meV/atom
uncorrected formation energy	-16.195	eV per formula unit

Cell and atoms, written as CIF:
```
data_ZnBiF5
_symmetry_space_group_name_H-M 'I m m m'
_symmetry_Int_Tables_number 71
_symmetry_space_group_name_Hall '-I 2 2'
_cell_length_a 3.934
_cell_length_b 6.951
_cell_length_c 8.520
_cell_angle_alpha 90.00
_cell_angle_beta 90.00
_cell_angle_gamma 90.00
loop_
_atom_site_label
_atom_site_type_symbol
_atom_site_fract_x
_atom_site_fract_y
_atom_site_fract_z
Zn1 Zn 0.000 0.000 0.000
Bi1 Bi 0.000 0.000 0.500
F1 F 0.000 0.000 0.241
F2 F 0.000 0.309 0.000
F3 F 0.000 0.500 0.500
```